! CeHf2MoO8, optimized geometry, DFT PBE with a Hubbard U; values from VASP
&SYSTEM
  ibrav = 0, nat = 12, ntyp = 4
/
ATOMIC_SPECIES
Ce 140.12 Ce.upf
Hf 178.49 Hf.upf
Mo 95.94 Mo.upf
O 16.00 O.upf
ATOMIC_POSITIONS crystal
Ce 0.0000 0.0000 0.0000
Hf 0.4985 0.4985 0.2556
Hf 0.5015 0.5015 0.7444
Mo 0.0000 0.0000 0.5000
O 0.2000 0.2000 0.7274
O 0.2034 0.2034 0.2653
O 0.3010 0.6990 0.5000
O 0.3190 0.6810 0.0000
O 0.6810 0.3190 0.0000
O 0.6990 0.3010 0.5000
O 0.7966 0.7966 0.7347
O 0.8000 0.8000 0.2726
CELL_PARAMETERS angstrom
3.4878 -3.4924 0.0000
3.4878 3.4924 0.0000
-0.0772 0.0000 6.5904
! Density, g/cm³: 7.457
! Crystal system: monoclinic
! E, eV per atom: -9.047